A plane-wave DFT calculation with PBE-GGA was carried out for an optimized crystal structure of ReRuSe2.

SG: R-3m, No. 166
V (Å³/cell): 62.5
ΔE_f (raw) (eV/atom): 0.3454

a b c (Å): 7.9545 7.9545 7.9545
angles (deg): 22.11 22.11 22.11
Atoms (fractional coordinates):
Re 0.0000 0.0000 0.0000
Ru 0.5000 0.5000 0.5000
Se 0.2505 0.2505 0.2505
Se 0.7495 0.7495 0.7495

=====

A plane-wave DFT calculation with PBE-GGA was carried out for an optimized crystal structure of VFe3Ir6.

SG: P2_1/m, No. 11
V (Å³/cell): 273.7

a b c (Å): 8.3778 3.8213 8.5535
angles (deg): 90.00 91.62 90.00
Atoms (fractional coordinates):
V 0.0581 0.2500 0.3912
V 0.9419 0.7500 0.6088
Fe 0.2538 0.2500 0.0001
Fe 0.3483 0.7500 0.8011
Fe 0.4459 0.2500 0.6029
Fe 0.5541 0.7500 0.3971
Fe 0.6517 0.2500 0.1989
Fe 0.7462 0.7500 0.9999
Ir 0.0543 0.7500 0.9009
Ir 0.1469 0.2500 0.6980
Ir 0.1510 0.7500 0.2052
Ir 0.2478 0.7500 0.5018
Ir 0.3585 0.2500 0.3044
Ir 0.4542 0.7500 0.1002
Ir 0.5458 0.2500 0.8998
Ir 0.6415 0.7500 0.6956
Ir 0.7522 0.2500 0.4982
Ir 0.8490 0.2500 0.7948
Ir 0.8531 0.7500 0.3020
Ir 0.9457 0.2500 0.0991

=====

A plane-wave DFT calculation with PBE-GGA was carried out for an optimized crystal structure of Sn2Bi2Pb3.

SG: C2/m, No. 12
V (Å³/cell): 215.9

a b c (Å): 12.0407 12.0407 3.3921
angles (deg): 98.03 98.03 149.00
Atoms (fractional coordinates):
Sn 0.0677 0.9323 0.0000
Sn 0.9323 0.0677 0.0000
Bi 0.3579 0.6421 0.5000
Bi 0.6421 0.3579 0.5000
Pb 0.2097 0.7903 0.5000
Pb 0.5000 0.5000 0.0000
Pb 0.7903 0.2097 0.5000

=====

Spin magnetization? In order: 0.000 16.047 0.000 μB per cell.
VASP energy? In order: -27.3 -89.5 -26.6 eV per formula unit.